! Fe5O8F2 (GGA+U, optimized geometry); values from VASP
! raw total energy = -6.08 eV/atom
! excess energy over the best structure of this formula in the dataset = 3.4 kJ/mol of atoms
! DOS(E_F) = 16.58 states/eV/cell
! theoretical density = 4.55 g/cm³
&SYSTEM
  ibrav = 0, nat = 30, ntyp = 3
/
ATOMIC_SPECIES
Fe 55.84 Fe.upf
O 16.00 O.upf
F 19.00 F.upf
CELL_PARAMETERS angstrom
3.295 -3.282 0.000
3.295 3.282 0.000
-0.063 0.000 15.032
ATOMIC_POSITIONS crystal
Fe 0.000 0.000 0.000
Fe 0.007 0.041 0.598
Fe 0.467 0.533 0.100
Fe 0.467 0.533 0.900
Fe 0.484 0.516 0.500
Fe 0.485 0.514 0.704
Fe 0.486 0.515 0.296
Fe 0.959 0.993 0.402
Fe 0.989 0.011 0.206
Fe 0.989 0.011 0.794
O 0.168 0.805 0.306
O 0.168 0.829 0.898
O 0.171 0.832 0.102
O 0.175 0.825 0.500
O 0.195 0.832 0.694
O 0.288 0.326 0.000
O 0.290 0.326 0.802
O 0.293 0.324 0.199
O 0.306 0.338 0.600
O 0.662 0.694 0.400
O 0.674 0.710 0.198
O 0.674 0.712 0.000
O 0.676 0.707 0.801
O 0.777 0.200 0.306
O 0.792 0.208 0.500
O 0.800 0.223 0.694
F 0.277 0.306 0.397
F 0.694 0.723 0.603
F 0.782 0.215 0.901
F 0.785 0.218 0.099